First-principles (PBE) data for Sr5Pb after structural relaxation, as listed in the Alexandria database.

a = 7.5063 Å, b = 7.5063 Å, c = 7.5063 Å
α = 60.00°, β = 60.00°, γ = 60.00°
Sites, in units of the cell vectors:
Sr1 0.2500 0.2500 0.2500
Sr2 0.6257 0.6257 0.6257
Sr3 0.6257 0.6257 0.1228
Sr4 0.1228 0.6257 0.6257
Sr5 0.6257 0.1228 0.6257
Pb1 0.0000 0.0000 0.0000

As for the density: 3.58 Mg/m³. The total moment comes out at 0.001 μB per cell. Its electronic total energy is -11.17 eV/cell.